Record 1
4
Lattice="3.289 0.000 0.000 0.000 3.289 0.000 0.000 0.000 9.278" Properties=species:S:1:pos:R:3 comment="La2TaMn | Alexandria | GGA-PBE | optimized geometry" polymorph_energy_mev_per_atom=289 formation_enthalpy_0k_ev_per_atom=0.5284 magmom_total_mub_per_fu=4.0 volume_a3_per_atom=25.10 dos_ef_per_ev_cell=5.018 pbc="T T T"
La 0.000 0.000 2.276
La 0.000 0.000 7.002
Ta 1.645 1.645 4.639
Mn 1.645 1.645 0.000

=====

Record 2
4
Lattice="-1.560 2.031 6.298 1.560 -2.031 6.298 1.560 2.031 -6.298" Properties=species:S:1:pos:R:3 comment="LaTaMn2 | Alexandria | GGA-PBE | optimized geometry" polymorph_energy_mev_per_atom=257 formation_enthalpy_0k_ev_per_atom=0.4411 magmom_total_mub_per_fu=2.3 volume_a3_per_atom=19.95 dos_ef_per_ev_cell=4.517 pbc="T T T"
La 0.000 0.000 0.000
Ta 0.000 2.031 2.874
Mn 1.560 0.000 3.034
Mn 0.000 0.000 4.713

=====

Record 3
4
Lattice="3.295 0.000 0.000 0.000 5.197 0.000 0.000 0.000 5.424" Properties=species:S:1:pos:R:3 comment="La2TaMn | Alexandria | GGA-PBE | optimized geometry" polymorph_energy_mev_per_atom=428 formation_enthalpy_0k_ev_per_atom=0.6679 magmom_total_mub_per_fu=2.7 volume_a3_per_atom=23.22 dos_ef_per_ev_cell=5.415 pbc="T T T"
La 0.000 0.000 0.000
La 1.647 0.000 2.712
Ta 0.000 2.599 2.712
Mn 1.647 2.599 0.000

=====

Record 4
5
Lattice="-2.127 2.127 5.268 2.127 -2.127 5.268 2.127 2.127 -5.268" Properties=species:S:1:pos:R:3 comment="LaTa2Mn2 | Alexandria | GGA-PBE | optimized geometry" polymorph_energy_mev_per_atom=0 formation_enthalpy_0k_ev_per_atom=0.1614 magmom_total_mub_per_fu=0.0 volume_a3_per_atom=19.07 dos_ef_per_ev_cell=5.519 pbc="T T T"
La 0.000 0.000 0.000
Ta 2.127 0.000 2.634
Ta 0.000 2.127 2.634
Mn 0.000 0.000 4.075
Mn 0.000 0.000 6.461

=====

Record 5
3
Lattice="3.254 0.000 0.000 -1.627 2.818 0.000 0.000 0.000 6.903" Properties=species:S:1:pos:R:3 comment="LaTaMn | Alexandria | GGA-PBE | optimized geometry" polymorph_energy_mev_per_atom=263 formation_enthalpy_0k_ev_per_atom=0.5680 magmom_total_mub_per_fu=1.4 volume_a3_per_atom=21.09 dos_ef_per_ev_cell=4.164 pbc="T T T"
La 0.000 0.000 0.000
Ta 0.000 1.878 4.045
Mn 1.627 0.939 2.423

=====

Record 6
5
Lattice="4.809 0.000 0.000 0.000 4.809 0.000 0.000 0.000 4.809" Properties=species:S:1:pos:R:3 comment="LaTaMn3 | Alexandria | GGA-PBE | optimized geometry" polymorph_energy_mev_per_atom=0 formation_enthalpy_0k_ev_per_atom=0.7391 magmom_total_mub_per_fu=8.1 volume_a3_per_atom=22.24 dos_ef_per_ev_cell=5.110 pbc="T T T"
La 0.000 0.000 0.000
Ta 2.404 2.404 2.404
Mn 0.000 2.404 2.404
Mn 2.404 0.000 2.404
Mn 2.404 2.404 0.000